Entry 1:
TaZnAs PBE relaxed; volume = 19.865 Å³/atom
1.0
4.384 0.000 0.000
2.192 3.797 0.000
2.192 1.266 3.580
Ta Zn As
1 1 1
direct
0.750 0.750 0.750
0.000 0.000 0.000
0.500 0.500 0.500


Entry 2:
TaZn2As2 PBE relaxed; volume = 17.360 Å³/atom
1.0
6.819 0.000 0.000
0.000 6.819 0.000
0.000 0.000 3.734
Ta As Zn
2 4 4
direct
0.000 0.000 0.000
0.500 0.500 0.000
0.850 0.650 0.000
0.650 0.150 0.000
0.150 0.350 0.000
0.350 0.850 0.000
0.339 0.161 0.500
0.839 0.339 0.500
0.161 0.661 0.500
0.661 0.839 0.500


Entry 3:
TaZnAs PBE relaxed; volume = 17.167 Å³/atom
1.0
3.552 0.000 0.000
0.000 3.552 0.000
0.000 0.000 8.162
As Zn Ta
2 2 2
direct
0.500 0.000 0.618
0.000 0.500 0.382
0.500 0.500 0.000
0.000 0.000 0.000
0.500 0.000 0.277
0.000 0.500 0.723


Entry 4:
TaZnAs PBE relaxed; volume = 16.474 Å³/atom
1.0
5.079 0.001 0.001
2.919 4.157 -0.001
-3.999 -2.079 2.342
Ta Zn As
1 1 1
direct
0.343 0.343 0.000
0.664 0.664 0.000
0.994 0.994 0.000


Entry 5:
TaZnAs3 PBE relaxed; energy relative to the lowest polymorph listed for this composition = 0.722 eV per atom; volume = 20.753 Å³/atom
1.0
4.699 0.000 0.000
0.000 4.699 0.000
0.000 0.000 4.699
As Ta Zn
3 1 1
direct
0.000 0.500 0.000
0.000 0.000 0.500
0.500 0.000 0.000
0.500 0.500 0.500
0.000 0.000 0.000


Entry 6:
TaZnAs3 PBE relaxed; energy relative to the lowest polymorph listed for this composition = 0.000 eV per atom; volume = 25.068 Å³/atom
1.0
5.005 0.000 0.000
0.000 5.005 0.000
0.000 0.000 5.005
Zn As Ta
1 3 1
direct
0.500 0.500 0.500
0.000 0.000 0.500
0.500 0.000 0.000
0.000 0.500 0.000
0.000 0.000 0.000


Entry 7:
Ta3ZnAs PBE relaxed; energy relative to the lowest polymorph listed for this composition = 0.000 eV per atom; volume = 21.207 Å³/atom
1.0
-1.966 -2.714 -3.342
4.113 -2.270 -0.576
-1.272 -3.144 3.302
Ta As Zn
3 1 1
direct
0.000 0.000 0.500
0.000 0.500 0.000
0.500 0.000 0.000
0.000 0.000 0.000
0.500 0.500 0.500


Entry 8:
TaZnAs PBE relaxed; volume = 19.060 Å³/atom
1.0
7.196 0.034 0.000
6.026 3.933 0.000
-6.611 -1.983 2.035
As Zn Ta
1 1 1
direct
0.977 0.977 0.000
0.692 0.692 0.000
0.330 0.330 0.000


no.,calculated formation energy (eV/atom)
1,0.43
2,0.06
3,-0.11
4,-0.04
5,1.10
6,0.38
7,1.01
8,0.12